RbTiS2O8 | PBE-GGA | relaxed

a b c (Å): 5.0356 5.0356 8.4818
angles (deg): 90.00 90.00 120.00
Space group P-3 (No. 147)
Unique sites:
Rb1 0.0000 0.0000 0.0000 [1 per cell]
Ti1 0.0000 0.0000 0.5000 [1 per cell]
S1 0.3333 0.6667 0.7045 [2 per cell]
O1 0.0907 0.3611 0.6443 [6 per cell]
O2 0.3333 0.6667 0.8767 [2 per cell]

Total magnetization ... 1.0 Bohr magnetons per cell
Raw formation energy ... -42.5 kcal/mol of atoms
V ... 186.3 Å³ per cell
VASP energy ... -78.9 eV/cell